## MgScTlPt (GGA-PBE)

Data for crystalline MgScTlPt at its relaxed geometry.

Space group: F-43m (216)
Relative energy among the computed polymorphs (meV/atom): 115
Energy (hartree per atom): -0.1666

a b c (Å): 4.7527 4.7527 4.7527
angles (deg): 60.00 60.00 60.00
Fractional coordinates of all 4 atoms:
Mg (0.7500, 0.7500, 0.7500)
Pt (0.2500, 0.2500, 0.2500)
Sc (0.0000, 0.0000, 0.0000)
Tl (0.5000, 0.5000, 0.5000)